# PBE ThTi2Tc, optimized geometry
data_ThTi2Tc
_space_group_name_H-M_alt 'P 4/m m m'
_space_group_IT_number 123
_space_group_name_Hall '-P 4 2'
_cell_length_a 3.1961
_cell_length_b 3.1961
_cell_length_c 7.7231
_cell_angle_alpha 90.00
_cell_angle_beta 90.00
_cell_angle_gamma 90.00
loop_
_atom_site_label
_atom_site_fract_x
_atom_site_fract_y
_atom_site_fract_z
Th1 0.0000 0.0000 0.0000
Ti1 0.5000 0.5000 0.3143
Tc1 0.0000 0.0000 0.5000
# energy of formation = -0.177 eV per atom
# volume = 19.723 A^3/atom